[1]
Material: Cr2OsBr
Method: DFT, PBE
State: optimized geometry

Output
D(E_F) (states/eV/atom): 0.89
Raw formation energy (kJ per mole of atoms): 68
Energy (eV per formula unit): -29.3
Energy relative to the lowest polymorph listed for this composition (meV per atom): 149

abc: 4.6130 4.6130 7.4077
angles: 56.72 56.72 36.28
Positions (direct):
Cr  0.5283  0.5283  0.6169
Br  0.2500  0.2500  0.2500
Cr  0.9717  0.9717  0.8831
Os  0.7500  0.7500  0.7500

***

[2]
Material: CrOs2Br
Method: DFT, PBE
State: optimized geometry

Output
D(E_F) (states/eV/atom): 1.08
Raw formation energy (kJ per mole of atoms): 122
Energy (eV per formula unit): -28.7
Energy relative to the lowest polymorph listed for this composition (meV per atom): 588

abc: 4.4007 4.4007 4.4007
angles: 60.00 60.00 60.00
Positions (direct):
Cr  0.0000  0.0000  0.0000
Br  0.5000  0.5000  0.5000
Os  0.7500  0.7500  0.7500
Os  0.2500  0.2500  0.2500

***

[3]
Material: CrOs2Br
Method: DFT, PBE
State: optimized geometry

Output
D(E_F) (states/eV/atom): 1.43
Raw formation energy (kJ per mole of atoms): 139
Energy (eV per formula unit): -28.0
Energy relative to the lowest polymorph listed for this composition (meV per atom): 762

abc: 5.5859 5.5859 6.6050
angles: 64.99 64.99 90.00
Positions (direct):
Os  0.1577  0.6250  0.2500
Os  0.5923  0.1250  0.2500
Br  0.7500  0.2500  0.5000
Cr  0.2500  0.7500  0.5000
Os  0.8750  0.8423  0.7500
Br  0.0000  0.0000  0.0000
Os  0.3750  0.4077  0.7500
Cr  0.5000  0.5000  0.0000

***

[4]
Material: Cr2OsBr
Method: DFT, PBE
State: optimized geometry

Output
D(E_F) (states/eV/atom): 0.91
Raw formation energy (kJ per mole of atoms): 75
Energy (eV per formula unit): -29.0
Energy relative to the lowest polymorph listed for this composition (meV per atom): 220

abc: 2.8159 2.8159 9.4013
angles: 90.00 90.00 117.03
Positions (direct):
Br  0.5000  0.5000  0.8032
Os  0.0000  0.0000  0.4378
Cr  0.0000  0.0000  0.0299
Cr  0.5000  0.5000  0.2291

***

- Which value of raw formation energy does entry 1 give?
  68 kJ per mole of atoms

***

- What is the energy relative to the lowest polymorph listed for this composition in the third record?
  762 meV per atom

***

- Number 1 is which compound?
  Cr2OsBr

***

- Which of these has the lowest raw formation energy?
  number 1